Here is a relaxed PmV2AuO8 crystal from Alexandria via LeMat-Bulk. Energies are from PBE+U.

```
PmV2AuO8
1.0
5.920 0.000 0.000
-2.960 5.127 0.000
0.000 0.000 6.272
Pm V Au O
1 2 1 8
Direct
0.000 0.000 0.000
0.333 0.667 0.653
0.667 0.333 0.347
0.000 0.000 0.500
0.166 0.332 0.740
0.166 0.834 0.740
0.332 0.166 0.260
0.333 0.667 0.393
0.667 0.333 0.607
0.668 0.834 0.740
0.834 0.166 0.260
0.834 0.668 0.260
```

The total energy comes out at -6.8839 eV per atom. The symmetry is P-3m1.